No. 1
Entry from the Alexandria database: a geometry-optimized Na3B4C2 structure (PBE-GGA).

```
Na3B4C2
1.0
2.502 1.445 8.512
-2.502 1.445 8.512
0.000 -2.890 8.512
Na B C
6 8 4
direct
0.084 0.751 0.417
0.249 0.916 0.583
0.417 0.084 0.751
0.583 0.249 0.916
0.751 0.417 0.084
0.916 0.583 0.249
0.000 0.317 0.683
0.167 0.167 0.167
0.317 0.683 0.000
0.333 0.333 0.333
0.500 0.500 0.500
0.667 0.667 0.667
0.683 0.000 0.317
0.833 0.833 0.833
0.000 0.000 0.000
0.167 0.500 0.833
0.500 0.833 0.167
0.833 0.167 0.500
```

Values from the calculation:
Formation enthalpy at 0 K, eV per atom: 0.139
Total moment, Bohr magnetons per cell: 0.26
Offset from the most stable computed form, eV per atom: 0.041



No. 2
Entry from the Alexandria database: a geometry-optimized Na5TlF8 structure (PBE-GGA).

```
Na5TlF8
1.0
-3.548 3.548 3.516
3.548 -3.548 3.516
3.548 3.548 -3.516
Na Tl F
5 1 8
direct
0.000 0.000 0.000
0.255 0.618 0.144
0.382 0.526 0.637
0.474 0.111 0.856
0.889 0.745 0.363
0.750 0.250 0.500
0.098 0.722 0.735
0.121 0.260 0.746
0.278 0.013 0.376
0.514 0.375 0.254
0.625 0.879 0.139
0.637 0.902 0.624
0.740 0.486 0.861
0.987 0.363 0.265
```

Values from the calculation:
Formation energy from raw total energies, eV per formula unit: -34.5
Total moment, Bohr magnetons per cell: 0.12



What did the first record say?
Entry from the Alexandria database: a geometry-optimized Na3B4C2 structure (PBE-GGA).

```
Na3B4C2
1.0
2.502 1.445 8.512
-2.502 1.445 8.512
0.000 -2.890 8.512
Na B C
6 8 4
direct
0.084 0.751 0.417
0.249 0.916 0.583
0.417 0.084 0.751
0.583 0.249 0.916
0.751 0.417 0.084
0.916 0.583 0.249
0.000 0.317 0.683
0.167 0.167 0.167
0.317 0.683 0.000
0.333 0.333 0.333
0.500 0.500 0.500
0.667 0.667 0.667
0.683 0.000 0.317
0.833 0.833 0.833
0.000 0.000 0.000
0.167 0.500 0.833
0.500 0.833 0.167
0.833 0.167 0.500
```

Values from the calculation:
Formation enthalpy at 0 K, eV per atom: 0.139
Total moment, Bohr magnetons per cell: 0.26
Offset from the most stable computed form, eV per atom: 0.041



Copy entry 1 word for word.
Entry from the Alexandria database: a geometry-optimized Na3B4C2 structure (PBE-GGA).

```
Na3B4C2
1.0
2.502 1.445 8.512
-2.502 1.445 8.512
0.000 -2.890 8.512
Na B C
6 8 4
direct
0.084 0.751 0.417
0.249 0.916 0.583
0.417 0.084 0.751
0.583 0.249 0.916
0.751 0.417 0.084
0.916 0.583 0.249
0.000 0.317 0.683
0.167 0.167 0.167
0.317 0.683 0.000
0.333 0.333 0.333
0.500 0.500 0.500
0.667 0.667 0.667
0.683 0.000 0.317
0.833 0.833 0.833
0.000 0.000 0.000
0.167 0.500 0.833
0.500 0.833 0.167
0.833 0.167 0.500
```

Values from the calculation:
Formation enthalpy at 0 K, eV per atom: 0.139
Total moment, Bohr magnetons per cell: 0.26
Offset from the most stable computed form, eV per atom: 0.041